# 1
A relaxed structure of OsClF2. Source: Alexandria, functional GGA-PBE.

- relative energy among the computed polymorphs (meV per atom) = 0
- volume (Å³/f.u.) = 66.3
- symmetry = R-3m (166)
- energy relative to the elements, uncorrected (eV/atom) = -0.6289
- total magnetic moment (μB per cell) = 0.00
- total energy (eV/atom) = -4.834

Lattice parameters (Å, degrees): 10.551 10.551 10.551 14.75 14.75 14.75
Positions (direct):
F  0.940  0.940  0.940
F  0.060  0.060  0.060
Os  0.000  0.000  0.000
Cl  0.500  0.500  0.500

***

# 2
A relaxed structure of OsCl3F. Source: Alexandria, functional GGA-PBE.

- relative energy among the computed polymorphs (meV per atom) = 2088
- volume (Å³/f.u.) = 100.0
- symmetry = Pm-3m (221)
- energy relative to the elements, uncorrected (eV/atom) = 1.3776
- total magnetic moment (μB per cell) = 4.41
- total energy (eV/atom) = -2.351

Lattice parameters (Å, degrees): 4.641 4.641 4.641 90.00 90.00 90.00
Last column: magnetic moment on the atom in μB.
Positions (direct):
F  0.000  0.000  0.000  0.06
Os  0.500  0.500  0.500  3.39
Cl  0.000  0.500  0.000  0.19
Cl  0.000  0.000  0.500  0.14
Cl  0.500  0.000  0.000  0.11

***

# 3
A relaxed structure of Os2ClF. Source: Alexandria, functional GGA-PBE.

- relative energy among the computed polymorphs (meV per atom) = 0
- volume (Å³/f.u.) = 57.2
- symmetry = I-42d (122)
- energy relative to the elements, uncorrected (eV/atom) = 1.3049
- total magnetic moment (μB per cell) = 0.00
- total energy (eV/atom) = -5.239

Lattice parameters (Å, degrees): 6.590 6.590 5.353 52.01 52.01 90.00
Positions (direct):
F  0.500  0.500  0.000
F  0.250  0.750  0.500
Os  0.630  0.125  0.250
Os  0.120  0.625  0.250
Os  0.375  0.370  0.750
Os  0.875  0.880  0.750
Cl  0.000  0.000  0.000
Cl  0.750  0.250  0.500